Arrangement one

Th2MgZr: optimized geometry, GGA-PBE.

The structure belongs to space group P4/mmm (No. 123); the cell edges are 3.8865, 3.8865 and 7.5075 Å and the angles 90.00°, 90.00° and 90.00°. Symmetry generates all atoms from Th at (0.0000, 0.0000, 0.2444), Mg at (0.5000, 0.5000, 0.5000) and Zr at (0.5000, 0.5000, 0.0000).

As for the volume: 113.4 Å³/f.u.


Arrangement two

Th2MgZr: optimized geometry, GGA-PBE.

The structure belongs to space group Fm-3m (No. 225); the cell edges are 7.6528, 7.6528 and 7.6528 Å and the angles 90.00°, 90.00° and 90.00°. Symmetry generates all atoms from Th at (0.2500, 0.2500, 0.2500), Mg at (0.0000, 0.0000, 0.0000) and Zr at (0.0000, 0.0000, 0.5000).

As for the volume: 112.0 Å³/f.u.


Which one is most stable, and which one is least stable? arrangement two is the most stable of them, while arrangement one is the least stable.


Arrangement one

Th2MgZr: optimized geometry, GGA-PBE.

The structure belongs to space group P4/mmm (No. 123); the cell edges are 4.8216, 4.8216 and 4.7756 Å and the angles 90.00°, 90.00° and 90.00°. Symmetry generates all atoms from Th at (0.0000, 0.5000, 0.0000), Mg at (0.0000, 0.0000, 0.5000) and Zr at (0.5000, 0.5000, 0.5000).

As for the volume: 111.0 Å³/f.u.


Arrangement two

Th2MgZr: optimized geometry, GGA-PBE.

The structure belongs to space group R-3m (No. 166, hexagonal axes); the cell edges are 3.3258, 3.3258 and 36.9648 Å and the angles 90.00°, 90.00° and 120.00°. Symmetry generates all atoms from Th at (0.0000, 0.0000, 0.0906), Mg at (0.0000, 0.0000, 0.0000) and Zr at (0.0000, 0.0000, 0.5000).

As for the volume: 118.0 Å³/f.u.


Which one is most stable, and which one is least stable? arrangement one is the most stable of them, while arrangement two is the least stable.


Arrangement one

Mg4Ti3: optimized geometry, GGA-PBE.

The structure belongs to space group P6_3/m (No. 176); the cell edges are 8.1736, 8.1736 and 4.8885 Å and the angles 90.00°, 90.00° and 120.00°. Symmetry generates all atoms from Mg at (0.0880, 0.6268, 0.2500), Mg at (0.3333, 0.6667, 0.7500) and Ti at (0.0390, 0.8291, 0.7500).

As for the volume: 141.4 Å³/f.u.


Arrangement two

Mg4Ti3: optimized geometry, GGA-PBE.

The structure belongs to space group P6_3/m (No. 176); the cell edges are 8.0262, 8.0262 and 4.9482 Å and the angles 90.00°, 90.00° and 120.00°. Symmetry generates all atoms from Mg at (0.0547, 0.8051, 0.2500), Mg at (0.3333, 0.6667, 0.2500) and Ti at (0.1098, 0.6221, 0.7500).

As for the volume: 138.0 Å³/f.u.


Which one is most stable, and which one is least stable? arrangement one is the most stable of them, while arrangement two is the least stable.


Arrangement one

Mg2Ti2Tl: optimized geometry, GGA-PBE.

The structure belongs to space group P4/mbm (No. 127); the cell edges are 7.7822, 7.7822 and 3.3114 Å and the angles 90.00°, 90.00° and 90.00°. Symmetry generates all atoms from Mg at (0.1246, 0.3754, 0.0000), Ti at (0.1728, 0.6728, 0.5000) and Tl at (0.0000, 0.0000, 0.0000).

As for the volume: 100.3 Å³/f.u.


Arrangement two

Mg2Ti2Tl: optimized geometry, GGA-PBE.

The structure belongs to space group P4/mbm (No. 127); the cell edges are 7.5694, 7.5694 and 3.7541 Å and the angles 90.00°, 90.00° and 90.00°. Symmetry generates all atoms from Mg at (0.1735, 0.3265, 0.0000), Ti at (0.1196, 0.6196, 0.5000) and Tl at (0.0000, 0.0000, 0.5000).

As for the volume: 107.5 Å³/f.u.


Which one is most stable, and which one is least stable? arrangement two is the most stable of them, while arrangement one is the least stable.